The following is a DFT calculation (PBE) of a relaxed Mg2H5Pd5 crystal.

Properties
E_tot = -48.9 eV for the cell shown
space group = C2/m (12)

Lattice parameters (Å, degrees): 2.8660 4.9700 9.5480 103.67 90.00 106.76
Sites, in units of the cell vectors:
Pd 0.3540 0.7079 0.9406
Mg 0.0443 0.0885 0.7854
H 0.0000 0.0000 0.0000
H 0.7822 0.5644 0.7739
Pd 0.6460 0.2921 0.0594
H 0.1183 0.2366 0.4685
H 0.2178 0.4356 0.2261
Mg 0.9557 0.9115 0.2146
H 0.8817 0.7634 0.5315
Pd 0.7299 0.4598 0.3566
Pd 0.5000 0.0000 0.5000
Pd 0.2701 0.5402 0.6434



The following is a DFT calculation (PBE) of a relaxed NaAg2HPt crystal.

Properties
E_tot = -16.6 eV for the cell shown
space group = P4/mmm (123)

Lattice parameters (Å, degrees): 4.5976 4.5976 3.5784 90.00 90.00 90.00
Sites, in units of the cell vectors:
H 0.0000 0.0000 0.0000
Na 0.5000 0.5000 0.5000
Ag 0.0000 0.5000 0.0000
Pt 0.0000 0.0000 0.5000
Ag 0.5000 0.0000 0.0000



The following is a DFT calculation (PBE) of a relaxed ErPu2Nb crystal.

Properties
energy relative to the lowest polymorph listed for this composition = 29.7 meV per atom
E_tot = -42.0 eV for the cell shown
space group = P4/mmm (123)
calculated formation energy = 0.3307 eV per atom

Lattice parameters (Å, degrees): 3.7019 3.7019 7.1112 90.00 90.00 90.00
Each line ends with the local moment (μB).
Sites, in units of the cell vectors:
Er 0.5000 0.5000 0.5000  0.38
Nb 0.5000 0.5000 0.0000  -0.27
Pu 0.0000 0.0000 0.7844  5.15
Pu 0.0000 0.0000 0.2156  5.15



The following is a DFT calculation (PBE) of a relaxed Ce2NpFe2N6 crystal.

Properties
raw formation energy = -656 meV/atom
E_tot = -98.9 eV for the cell shown
space group = R-3m (166)

Lattice parameters (Å, degrees): 5.6600 5.6600 6.4081 63.79 63.79 60.00
Each line ends with the local moment (μB).
Sites, in units of the cell vectors:
Fe 0.4060 0.4060 0.7819  1.91
N 0.2500 0.7767 0.7233  -0.02
Np 0.0000 0.0000 0.0000  2.07
N 0.7500 0.7500 0.2767  -0.02
Fe 0.5940 0.5940 0.2181  1.91
N 0.2233 0.7500 0.2767  -0.02
Ce 0.7903 0.7903 0.6291  0.60
N 0.2500 0.2500 0.7233  -0.02
N 0.7767 0.2500 0.7233  -0.02
Ce 0.2097 0.2097 0.3709  0.60
N 0.7500 0.2233 0.2767  -0.02



The following is a DFT calculation (PBE) of a relaxed Hg2Au3O8 crystal.

Properties
raw formation energy = 132 meV/atom
energy relative to the lowest polymorph listed for this composition = 101.1 meV per atom
E_tot = -48.4 eV for the cell shown
space group = C2/m (12)

Lattice parameters (Å, degrees): 5.4595 8.1131 6.6172 127.81 86.73 90.00
Each line ends with the local moment (μB).
Sites, in units of the cell vectors:
Au 0.0000 0.3001 0.0000  0.08
O 0.2479 0.2400 0.1544  0.17
Au 0.0000 0.6999 0.0000  0.08
O 0.7521 0.0855 0.8456  0.17
Au 0.5000 0.0000 0.0000  0.02
Hg 0.5666 0.6718 0.3437  0.00
O 0.7626 0.4846 0.9692  0.01
O 0.6615 0.1679 0.3358  0.04
O 0.2374 0.5154 0.0308  0.01
O 0.2479 0.9145 0.1544  0.17
O 0.7521 0.7600 0.8456  0.17
Hg 0.4334 0.3282 0.6563  0.00
O 0.3385 0.8321 0.6642  0.04



The following is a DFT calculation (PBE) of a relaxed Ca3Tl2Zn2Ag4 crystal.

Properties
E_tot = -26.7 eV for the cell shown
space group = P-3m1 (164)
calculated formation energy = -0.1843 eV per atom

Lattice parameters (Å, degrees): 4.7524 4.7524 13.9024 90.00 90.00 120.00
Sites, in units of the cell vectors:
Ca 0.0000 0.0000 0.0000
Tl 0.6667 0.3333 0.4284
Ag 0.6667 0.3333 0.6438
Zn 0.6667 0.3333 0.8576
Tl 0.3333 0.6667 0.5716
Ca 0.0000 0.0000 0.2612
Ag 0.3333 0.6667 0.3562
Ag 0.6667 0.3333 0.1309
Ca 0.0000 0.0000 0.7388
Zn 0.3333 0.6667 0.1424
Ag 0.3333 0.6667 0.8691